4
Lattice="4.809 -1.406 0.000 4.809 1.406 0.000 -0.327 0.000 4.428" Properties=species:S:1:pos:R:3 comment="Be2SbMo (GGA-PBE, relaxed)" total_energy_ev_per_atom=-5.12 pbc="T T T"
Be 0.000 0.000 0.000
Be 1.780 0.000 3.342
Sb 4.151 0.000 2.143
Mo 6.720 0.000 1.028


4
Lattice="1.783 -2.250 0.000 1.783 2.250 0.000 0.000 0.000 7.702" Properties=species:S:1:pos:R:3 comment="Be2SbMo (GGA-PBE, relaxed)" total_energy_ev_per_atom=-5.05 pbc="T T T"
Be 0.000 0.000 1.627
Be 0.000 0.000 6.075
Sb 1.783 0.000 3.851
Mo 1.783 0.000 0.000


5
Lattice="5.227 0.000 0.000 0.000 5.227 0.000 0.000 0.000 5.227" Properties=species:S:1:pos:R:3 comment="BeSb3Mo (GGA-PBE, relaxed)" total_energy_ev_per_atom=-4.43 de_polymorph_mev_per_atom=0 pbc="T T T"
Be 0.000 0.000 0.000
Sb 0.000 2.614 2.614
Sb 2.614 0.000 2.614
Sb 2.614 2.614 0.000
Mo 2.614 2.614 2.614


4
Lattice="-1.800 1.801 4.227 1.800 -1.801 4.227 1.800 1.801 -4.227" Properties=species:S:1:pos:R:3 comment="Be2SbMo (GGA-PBE, relaxed)" total_energy_ev_per_atom=-5.44 pbc="T T T"
Be 0.000 0.000 0.000
Be 0.000 1.801 2.124
Sb 0.000 0.000 4.235
Mo 1.800 0.000 2.120


Number 1: total magnetization 0.000 μB/f.u.. Number 2: total magnetization 0.000 μB/f.u.. Number 3: total magnetization 0.000 μB/f.u.. Number 4: total magnetization 0.000 μB/f.u..